1.
First-principles (GGA-PBE) data for a relaxed structure of BaBeSb3, as listed in Alexandria.

Computed properties:
* energy: -3.7188 eV per atom
* formation energy (no corrections): -0.6 eV/f.u.

POSCAR file:
```
BaBeSb3
1.0
5.207 0.000 0.000
0.000 5.207 0.000
0.000 0.000 5.207
Ba Be Sb
1 1 3
direct
0.000 0.000 0.000
0.500 0.500 0.500
0.000 0.500 0.500
0.500 0.000 0.500
0.500 0.500 0.000
```

2.
First-principles (GGA-PBE) data for a relaxed structure of La3IrPb, as listed in Alexandria.

Computed properties:
* energy: -5.5091 eV per atom

POSCAR file:
```
La3IrPb
1.0
3.342 -8.686 0.000
3.342 8.686 0.000
0.000 0.000 5.784
La Ir Pb
6 2 2
direct
0.000 0.000 0.000
0.000 0.000 0.500
0.115 0.417 0.750
0.417 0.115 0.250
0.583 0.885 0.750
0.885 0.583 0.250
0.481 0.519 0.750
0.519 0.481 0.250
0.177 0.823 0.750
0.823 0.177 0.250
```

3.
First-principles (GGA-PBE) data for a relaxed structure of AlPdAu3, as listed in Alexandria.

Computed properties:
* energy: -4.0303 eV per atom

POSCAR file:
```
AlPdAu3
1.0
4.087 -4.209 0.000
4.087 4.209 0.000
-2.082 0.000 5.201
Al Pd Au
2 2 6
direct
0.235 0.235 0.496
0.765 0.765 0.504
0.080 0.080 0.803
0.920 0.920 0.197
0.073 0.575 0.794
0.425 0.927 0.206
0.428 0.428 0.212
0.572 0.572 0.788
0.575 0.073 0.794
0.927 0.425 0.206
```

4.
First-principles (GGA-PBE) data for a relaxed structure of Mn4ZnN, as listed in Alexandria.

Computed properties:
* energy: -7.4973 eV per atom
* formation energy (no corrections): 1.3 eV/f.u.

POSCAR file:
```
Mn4ZnN
1.0
4.950 0.000 0.000
0.000 4.950 0.000
0.000 0.000 6.657
Mn Zn N
8 2 2
direct
0.000 0.000 0.196
0.000 0.000 0.804
0.171 0.329 0.500
0.329 0.829 0.500
0.500 0.500 0.196
0.500 0.500 0.804
0.671 0.171 0.500
0.829 0.671 0.500
0.000 0.500 0.000
0.500 0.000 0.000
0.000 0.000 0.500
0.500 0.500 0.500
```

5.
First-principles (GGA-PBE) data for a relaxed structure of TaTcAu2, as listed in Alexandria.

Computed properties:
* energy: -7.1480 eV per atom

POSCAR file:
```
TaTcAu2
1.0
4.083 0.000 0.000
0.000 4.099 0.000
0.000 0.000 8.024
Ta Tc Au
2 2 4
direct
0.000 0.000 0.000
0.500 0.500 0.500
0.000 0.500 0.749
0.500 0.000 0.249
0.000 0.000 0.499
0.000 0.500 0.249
0.500 0.000 0.749
0.500 0.500 0.999
```

6.
First-principles (GGA-PBE) data for a relaxed structure of CaYCr2, as listed in Alexandria.

Computed properties:
* energy: -6.5130 eV per atom

POSCAR file:
```
CaYCr2
1.0
3.744 0.000 0.000
-1.872 3.242 0.000
0.000 0.000 24.192
Ca Y Cr
3 3 6
direct
0.000 0.000 0.000
0.333 0.667 0.667
0.667 0.333 0.333
0.000 0.000 0.189
0.333 0.667 0.856
0.667 0.333 0.523
0.000 0.000 0.433
0.000 0.000 0.767
0.333 0.667 0.100
0.333 0.667 0.433
0.667 0.333 0.100
0.667 0.333 0.766
```

What did the first record say?
First-principles (GGA-PBE) data for a relaxed structure of BaBeSb3, as listed in Alexandria.

Computed properties:
* energy: -3.7188 eV per atom
* formation energy (no corrections): -0.6 eV/f.u.

POSCAR file:
```
BaBeSb3
1.0
5.207 0.000 0.000
0.000 5.207 0.000
0.000 0.000 5.207
Ba Be Sb
1 1 3
direct
0.000 0.000 0.000
0.500 0.500 0.500
0.000 0.500 0.500
0.500 0.000 0.500
0.500 0.500 0.000
```